(1)
A plane-wave DFT calculation with GGA-PBE was carried out for a relaxed structure of ReMoN2.

Cell lengths 6.8506, 6.8506, 6.8506 Å; angles 23.84, 23.84, 23.84 degrees
With the nearest neighbours (Å) after each atom.
Sites, in units of the cell vectors:
Re 0.0000 0.0000 0.0000  2 N 1.98
Mo 0.5000 0.5000 0.5000  6 N 2.11
N 0.9006 0.9006 0.9006  1 Re 1.98, 3 Mo 2.11
N 0.0994 0.0994 0.0994  1 Re 1.98, 3 Mo 2.11

Results
The calculation puts the density of states at the Fermi level at 3.79 states/eV/cell.

=====

(2)
A plane-wave DFT calculation with GGA-PBE was carried out for a relaxed structure of ReMoN2.

Cell lengths 3.8329, 3.8329, 3.8329 Å; angles 60.00, 60.00, 60.00 degrees
With the nearest neighbours (Å) after each atom.
Sites, in units of the cell vectors:
Re 0.5000 0.5000 0.5000  8 N 2.35
Mo 0.0000 0.0000 0.0000  8 N 2.35
N 0.2500 0.2500 0.2500  4 Mo 2.35, 4 Re 2.35
N 0.7500 0.7500 0.7500  4 Re 2.35, 4 Mo 2.35

Results
The calculation puts the density of states at the Fermi level at 4.41 states/eV/cell.

=====

(3)
A plane-wave DFT calculation with GGA-PBE was carried out for a relaxed structure of ReMoN2.

Cell lengths 4.1126, 4.1126, 6.3610 Å; angles 71.14, 71.14, 90.00 degrees
With the nearest neighbours (Å) after each atom.
Sites, in units of the cell vectors:
Re 0.0000 0.0000 0.0000  4 N 2.01
Re 0.7500 0.2500 0.5000  4 N 2.01
Mo 0.5000 0.5000 0.0000  4 N 2.05
Mo 0.2500 0.7500 0.5000  4 N 2.05
N 0.6348 0.1250 0.2500  2 Re 2.01, 2 Mo 2.05
N 0.1152 0.6250 0.2500  2 Re 2.01, 2 Mo 2.05
N 0.3750 0.3652 0.7500  2 Re 2.01, 2 Mo 2.05
N 0.8750 0.8848 0.7500  2 Re 2.01, 2 Mo 2.05

Results
The calculation puts the density of states at the Fermi level at 4.77 states/eV/cell.

=====

The structure with the least stability is (2).

=====

(1)
A plane-wave DFT calculation with GGA-PBE was carried out for a relaxed structure of Re3MoN.

Cell lengths 4.6769, 4.6769, 4.6769 Å; angles 90.00, 90.00, 90.00 degrees
With the nearest neighbours (Å) after each atom.
Sites, in units of the cell vectors:
Re 0.0000 0.5000 0.0000  2 Mo 2.34
Re 0.0000 0.0000 0.5000  2 Mo 2.34
Re 0.5000 0.0000 0.0000  2 Mo 2.34
Mo 0.0000 0.0000 0.0000  6 Re 2.34
N 0.5000 0.5000 0.5000  12 Re 3.31

Results
The calculation puts the density of states at the Fermi level at 6.44 states/eV/cell.

=====

(2)
A plane-wave DFT calculation with GGA-PBE was carried out for a relaxed structure of Re3MoN.

Cell lengths 4.0740, 4.0740, 4.0740 Å; angles 90.00, 90.00, 90.00 degrees
With the nearest neighbours (Å) after each atom.
Sites, in units of the cell vectors:
Re 0.0000 0.5000 0.0000  2 N 2.04
Re 0.0000 0.0000 0.5000  2 N 2.04
Re 0.5000 0.0000 0.0000  2 N 2.04
Mo 0.5000 0.5000 0.5000  12 Re 2.88
N 0.0000 0.0000 0.0000  6 Re 2.04

Results
The calculation puts the density of states at the Fermi level at 4.01 states/eV/cell.

=====

The structure with the least stability is (1).

=====

(1)
A plane-wave DFT calculation with GGA-PBE was carried out for a relaxed structure of ReMoSe2N.

Cell lengths 5.0580, 5.0580, 3.7150 Å; angles 90.00, 90.00, 90.00 degrees
With the nearest neighbours (Å) after each atom.
Sites, in units of the cell vectors:
Re 0.0000 0.0000 0.0000  2 N 1.86
Mo 0.5000 0.5000 0.5000  8 Se 3.14
Se 0.0000 0.5000 0.0000  2 Re 2.53
Se 0.5000 0.0000 0.0000  2 Re 2.53
N 0.0000 0.0000 0.5000  2 Re 1.86

Results
The calculation puts the density of states at the Fermi level at 4.30 states/eV/cell.

=====

(2)
A plane-wave DFT calculation with GGA-PBE was carried out for a relaxed structure of ReMoSe2N.

Cell lengths 5.0603, 5.0603, 3.7502 Å; angles 90.00, 90.00, 90.00 degrees
With the nearest neighbours (Å) after each atom.
Sites, in units of the cell vectors:
Re 0.5000 0.5000 0.5000  8 Se 3.15
Mo 0.0000 0.0000 0.0000  2 N 1.88
Se 0.0000 0.5000 0.0000  2 Mo 2.53
Se 0.5000 0.0000 0.0000  2 Mo 2.53
N 0.0000 0.0000 0.5000  2 Mo 1.88

Results
The calculation puts the density of states at the Fermi level at 2.45 states/eV/cell.

=====

The structure with the least stability is (2).

=====

(1)
A plane-wave DFT calculation with GGA-PBE was carried out for a relaxed structure of ReTcMo2N.

Cell lengths 4.1083, 4.1083, 4.0421 Å; angles 90.00, 90.00, 90.00 degrees
With the nearest neighbours (Å) after each atom.
Sites, in units of the cell vectors:
Re 0.0000 0.0000 0.5000  2 N 2.02
Mo 0.0000 0.5000 0.0000  2 N 2.05
Mo 0.5000 0.0000 0.0000  2 N 2.05
Tc 0.5000 0.5000 0.5000  8 Mo 2.88, 4 Re 2.90
N 0.0000 0.0000 0.0000  2 Re 2.02, 4 Mo 2.05

Results
The calculation puts the density of states at the Fermi level at 3.94 states/eV/cell.

=====

(2)
A plane-wave DFT calculation with GGA-PBE was carried out for a relaxed structure of ReTcMo2N.

Cell lengths 4.1037, 4.1037, 4.0339 Å; angles 90.00, 90.00, 90.00 degrees
With the nearest neighbours (Å) after each atom.
Sites, in units of the cell vectors:
Re 0.5000 0.5000 0.5000  8 Mo 2.88, 4 Tc 2.90
Mo 0.0000 0.5000 0.0000  2 N 2.05
Mo 0.5000 0.0000 0.0000  2 N 2.05
Tc 0.0000 0.0000 0.5000  2 N 2.02
N 0.0000 0.0000 0.0000  2 Tc 2.02, 4 Mo 2.05

Results
The calculation puts the density of states at the Fermi level at 3.51 states/eV/cell.

=====

The structure with the least stability is (1).